Computed, not measured: SmTcW after structural relaxation at the PBE level of DFT.

Unit cell a=4.5178 b=4.5178 c=4.5178 alpha=60.00 beta=60.00 gamma=60.00
With the nearest neighbours (Å) after each atom.
Element x y z (fractional)
1 Sm 0.2500 0.2500 0.2500  4 W 2.77
2 Tc 0.7500 0.7500 0.7500  4 W 2.77
3 W 0.0000 0.0000 0.0000  4 Sm 2.77, 4 Tc 2.77

Calculated values
ΔE_f = 2.48 eV/f.u.
offset from the most stable computed form = 0 meV/atom